Compound: Si2Pd8Se
Source: Alexandria
Functional: PBE-GGA
Structure: optimized geometry

Values from the calculation:
Final energy (eV/cell): -122.26
Uncorrected formation energy (meV per atom): -478
N(E_F) (states/eV/atom): 0.50

The structure in CIF format:
```
data_Si2Pd8Se
_chemical_formula_sum 'Si4 Pd16 Se2'
_space_group_name_H-M_alt 'C 1 2/m 1'
_space_group_IT_number 12
_cell_length_a 14.882
_cell_length_b 3.987
_cell_length_c 6.013
_cell_angle_alpha 90.00
_cell_angle_beta 108.62
_cell_angle_gamma 90.00
loop_
_space_group_symop_operation_xyz
'x,y,z'
'-x,-y,-z'
'-x,y,-z'
'x,-y,z'
'x+1/2,y+1/2,z'
'-x+1/2,-y+1/2,-z'
'-x+1/2,y+1/2,-z'
'x+1/2,-y+1/2,z'
loop_
_atom_site_label
_atom_site_type_symbol
_atom_site_fract_x
_atom_site_fract_y
_atom_site_fract_z
Si1 Si 0.184 0.000 0.195
Pd1 Pd 0.035 0.000 0.262
Pd2 Pd 0.094 0.500 0.968
Pd3 Pd 0.174 0.500 0.465
Pd4 Pd 0.204 0.000 0.818
Se1 Se 0.000 0.500 0.500
```